An optimized crystal structure of La6PrY2Er. Source: Alexandria via LeMat-Bulk, functional PBE.

Symmetry: C2/m
ρ (Mg/m³): 6.13
Electronic total energy (Ry/atom): -0.367

Lattice parameters (Å, degrees): 9.373 6.955 6.724 121.14 105.05 90.00
Sites, in units of the cell vectors:
La 0.186 0.031 0.607
La 0.573 0.366 0.731
La 0.814 0.424 0.393
La 0.186 0.576 0.607
Y 0.174 0.071 0.143
Er 0.000 0.500 0.000
Pr 0.500 0.000 0.000
La 0.427 0.634 0.269
La 0.814 0.969 0.393
Y 0.826 0.929 0.857